{
  "formula": "FeCo",
  "functional": "PBE",
  "state": "optimized geometry",
  "energy_ev_per_atom": -7.638,
  "space_group": "Pnma, No. 62",
  "formation_enthalpy_0k_ev_per_atom": 0.15,
  "lattice_angstrom": [[4.275, 0.000, 0.000], [0.000, 3.918, 0.000], [0.000, 0.000, 4.922]],
  "species": ["Fe", "Fe", "Fe", "Fe", "Co", "Co", "Co", "Co"],
  "frac_coords": [[0.082, 0.250, 0.125], [0.418, 0.750, 0.625], [0.582, 0.250, 0.375], [0.918, 0.750, 0.875], [0.085, 0.250, 0.623], [0.415, 0.750, 0.123], [0.585, 0.250, 0.877], [0.915, 0.750, 0.377]]
}